The following is a PBE calculation of an optimized crystal structure of Y2ErZn, from Alexandria.

Computed properties:
**Spin magnetization**: 0.00 μB/f.u.
**Formation enthalpy at 0 K**: 3 meV per atom
**E_tot**: -18.75 eV per formula unit
**Energy above the most stable polymorph in this dataset**: 164 meV/atom

Geometry as CIF:
```
data_Y2ErZn
_cell_length_a 5.263
_cell_length_b 5.263
_cell_length_c 3.916
_cell_angle_alpha 90.00
_cell_angle_beta 90.00
_cell_angle_gamma 90.00
_symmetry_space_group_name_H-M 'P 4/m m m'
_symmetry_Int_Tables_number 123
_symmetry_space_group_name_Hall '-P 4 2'
loop_
_atom_site_label
_atom_site_fract_x
_atom_site_fract_y
_atom_site_fract_z
_atom_site_occupancy
Y1 0.000 0.500 0.000 1
Er1 0.000 0.000 0.500 1
Zn1 0.500 0.500 0.500 1
```